# 1
Rb5Cu3P3: relaxed, PBE.

Calculated values
DFT formation energy ... -2.07 eV per formula unit
Energy ... -35.43 eV/cell
DOS at the Fermi energy ... 6.1 states/eV/f.u.
M_tot ... 0.000 μB/atom

Geometry as CIF:
```
data_Rb5Cu3P3
_chemical_formula_sum 'Rb5 Cu3 P3'
_cell_length_a 10.5188
_cell_length_b 10.5188
_cell_length_c 4.2808
_cell_angle_alpha 90.00
_cell_angle_beta 90.00
_cell_angle_gamma 120.00
_space_group_name_H-M_alt 'P -6 2 m'
_space_group_IT_number 189
_space_group_name_Hall 'P -6 -2'
loop_
_atom_site_label
_atom_site_fract_x
_atom_site_fract_y
_atom_site_fract_z
Rb1 0.0000 0.2670 0.0000
Rb2 0.3333 0.6667 0.0000
Cu1 0.0000 0.6525 0.5000
P1 0.0000 0.6293 0.0000
```

***

# 2
Sm4HoCd: relaxed, PBE.

Calculated values
DFT formation energy ... 0.04 eV per formula unit
Energy ... -97.34 eV/cell
DOS at the Fermi energy ... 8.0 states/eV/f.u.
Distance to the lowest polymorph of the same formula ... 0.098 eV/atom
M_tot ... 0.000 μB/atom

Geometry as CIF:
```
data_Sm4HoCd
_chemical_formula_sum 'Sm16 Ho4 Cd4'
_cell_length_a 8.8460
_cell_length_b 14.3434
_cell_length_c 6.3736
_cell_angle_alpha 90.00
_cell_angle_beta 109.41
_cell_angle_gamma 90.00
_space_group_name_H-M_alt 'C 1 2/c 1'
_space_group_IT_number 15
loop_
_space_group_symop_operation_xyz
'x,y,z'
'-x,-y,-z'
'-x,y,-z+1/2'
'x,-y,z+1/2'
'x+1/2,y+1/2,z'
'-x+1/2,-y+1/2,-z'
'-x+1/2,y+1/2,-z+1/2'
'x+1/2,-y+1/2,z+1/2'
loop_
_atom_site_label
_atom_site_fract_x
_atom_site_fract_y
_atom_site_fract_z
Sm1 0.0979 0.1910 0.0449
Sm2 0.2142 0.3798 0.3766
Ho1 0.0000 0.4119 0.7500
Cd1 0.0000 0.0008 0.7500
```

***

# 3
Th4MgSi3Rh12: relaxed, PBE.

Calculated values
Energy ... -295.06 eV/cell
DOS at the Fermi energy ... 14.4 states/eV/f.u.
M_tot ... 0.000 μB/atom
Energy relative to the elements, uncorrected ... -0.588 eV per atom

Geometry as CIF:
```
data_Th4MgSi3Rh12
_chemical_formula_sum 'Th8 Mg2 Si6 Rh24'
_cell_length_a 9.0595
_cell_length_b 9.0595
_cell_length_c 9.0595
_cell_angle_alpha 90.00
_cell_angle_beta 90.00
_cell_angle_gamma 90.00
_space_group_name_H-M_alt 'I m -3 m'
_space_group_IT_number 229
_space_group_name_Hall '-I 4 2 3'
loop_
_atom_site_label
_atom_site_fract_x
_atom_site_fract_y
_atom_site_fract_z
Th1 0.2500 0.2500 0.2500
Mg1 0.0000 0.0000 0.0000
Si1 0.0000 0.0000 0.5000
Rh1 0.0000 0.0000 0.2578
Rh2 0.0000 0.2500 0.5000
```

***

# 4
NpPbN2: relaxed, PBE.

Calculated values
Energy ... -105.90 eV/cell
DOS at the Fermi energy ... 6.4 states/eV/f.u.
M_tot ... 0.402 μB/atom
Energy relative to the elements, uncorrected ... -0.500 eV per atom

Geometry as CIF:
```
data_NpPbN2
_chemical_formula_sum 'Np3 Pb3 N6'
_cell_length_a 3.4953
_cell_length_b 3.4953
_cell_length_c 19.8352
_cell_angle_alpha 90.00
_cell_angle_beta 90.00
_cell_angle_gamma 120.00
_space_group_name_H-M_alt 'R -3 m'
_space_group_IT_number 166
_space_group_name_Hall '-R 3 2"'
loop_
_atom_site_label
_atom_site_fract_x
_atom_site_fract_y
_atom_site_fract_z
Np1 0.0000 0.0000 0.0000
Pb1 0.0000 0.0000 0.5000
N1 0.0000 0.0000 0.2866
```

***

# 5
ZnGaTe3: relaxed, PBE.

Calculated values
Energy ... -59.79 eV/cell
DOS at the Fermi energy ... 0.7 states/eV/f.u.
Distance to the lowest polymorph of the same formula ... 0.000 eV/atom
M_tot ... 0.000 μB/atom
Energy relative to the elements, uncorrected ... -0.244 eV per atom

Geometry as CIF:
```
data_ZnGaTe3
_chemical_formula_sum 'Zn4 Ga4 Te12'
_cell_length_a 13.5498
_cell_length_b 4.2159
_cell_length_c 10.9728
_cell_angle_alpha 90.00
_cell_angle_beta 94.30
_cell_angle_gamma 90.00
_space_group_name_H-M_alt 'C 1 2/m 1'
_space_group_IT_number 12
loop_
_space_group_symop_operation_xyz
'x,y,z'
'-x,-y,-z'
'-x,y,-z'
'x,-y,z'
'x+1/2,y+1/2,z'
'-x+1/2,-y+1/2,-z'
'-x+1/2,y+1/2,-z'
'x+1/2,-y+1/2,z'
loop_
_atom_site_label
_atom_site_fract_x
_atom_site_fract_y
_atom_site_fract_z
Zn1 0.1850 0.0000 0.1207
Ga1 0.0334 0.5000 0.7171
Te1 0.0914 0.0000 0.5756
Te2 0.1270 0.5000 0.9350
Te3 0.1611 0.5000 0.2745
```

***

# 6
Pm2W2C3: relaxed, PBE.

Calculated values
DFT formation energy ... -1.65 eV per formula unit
Energy ... -129.45 eV/cell
DOS at the Fermi energy ... 2.1 states/eV/f.u.
M_tot ... 0.000 μB/atom

Geometry as CIF:
```
data_Pm2W2C3
_chemical_formula_sum 'Pm4 W4 C6'
_cell_length_a 12.2267
_cell_length_b 3.3846
_cell_length_c 5.8846
_cell_angle_alpha 90.00
_cell_angle_beta 114.77
_cell_angle_gamma 90.00
_space_group_name_H-M_alt 'C 1 2/m 1'
_space_group_IT_number 12
loop_
_space_group_symop_operation_xyz
'x,y,z'
'-x,-y,-z'
'-x,y,-z'
'x,-y,z'
'x+1/2,y+1/2,z'
'-x+1/2,-y+1/2,-z'
'-x+1/2,y+1/2,-z'
'x+1/2,-y+1/2,z'
loop_
_atom_site_label
_atom_site_fract_x
_atom_site_fract_y
_atom_site_fract_z
Pm1 0.1084 0.0000 0.3139
W1 0.1575 0.5000 0.8232
C1 0.0000 0.5000 0.5000
C2 0.2481 0.0000 0.7728
```